(1)
# SrAc6La5 | Alexandria via LeMat-Bulk | PBE-GGA | optimized geometry
# Energy relative to the elements, eV/atom: 0.038
# N(E_F), states/eV per cell: 21.13
# Volume, Å³ per atom: 42.02
data_SrAc6La5
_cell_length_a 8.705
_cell_length_b 8.705
_cell_length_c 6.784
_cell_angle_alpha 97.45
_cell_angle_beta 97.45
_cell_angle_gamma 84.99
_space_group_name_H-M_alt 'P 1'
_space_group_IT_number 1
_space_group_name_Hall 'P 1'
loop_
_atom_site_label
_atom_site_fract_x
_atom_site_fract_y
_atom_site_fract_z
Sr1 0.000 0.000 0.000
Ac1 0.084 0.427 0.253
Ac2 0.252 0.252 0.741
Ac3 0.427 0.084 0.253
Ac4 0.573 0.916 0.747
Ac5 0.748 0.748 0.259
Ac6 0.916 0.573 0.747
La1 0.175 0.825 0.500
La2 0.339 0.661 0.000
La3 0.500 0.500 0.500
La4 0.661 0.339 0.000
La5 0.825 0.175 0.500

***

(2)
# LaZr2Ru2 | Alexandria via LeMat-Bulk | PBE-GGA | optimized geometry
# Energy relative to the elements, eV/atom: -0.044
# N(E_F), states/eV per cell: 3.20
# Excess energy over the best structure of this formula in the dataset, eV per atom: 0.2033
# Volume, Å³ per atom: 23.54
data_LaZr2Ru2
_cell_length_a 6.408
_cell_length_b 6.408
_cell_length_c 6.408
_cell_angle_alpha 137.73
_cell_angle_beta 137.73
_cell_angle_gamma 61.32
_space_group_name_H-M_alt 'P 1'
_space_group_IT_number 1
_space_group_name_Hall 'P 1'
loop_
_atom_site_label
_atom_site_fract_x
_atom_site_fract_y
_atom_site_fract_z
La1 0.000 0.000 0.000
Zr1 0.359 0.359 0.000
Zr2 0.641 0.641 0.000
Ru1 0.250 0.750 0.500
Ru2 0.750 0.250 0.500